# Pm3ZnPb, optimized geometry, DFT PBE
# - E_form: -0.291 eV per atom
# - Symmetry: Pm-3m
data_Pm3ZnPb
_cell_length_a 7.554
_cell_length_b 7.554
_cell_length_c 7.554
_cell_angle_alpha 90.00
_cell_angle_beta 90.00
_cell_angle_gamma 90.00
_space_group_name_H-M_alt 'P 1'
_space_group_IT_number 1
loop_
_space_group_symop_operation_xyz
'x,y,z'
loop_
_atom_site_label
_atom_site_type_symbol
_atom_site_fract_x
_atom_site_fract_y
_atom_site_fract_z
_atom_site_occupancy
Pm1 Pm 0.500 0.500 0.500 1
Pm2 Pm 0.234 0.234 0.234 1
Pm3 Pm 0.766 0.766 0.234 1
Pm4 Pm 0.766 0.234 0.766 1
Pm5 Pm 0.234 0.766 0.766 1
Pm6 Pm 0.234 0.234 0.766 1
Pm7 Pm 0.766 0.766 0.766 1
Pm8 Pm 0.234 0.766 0.234 1
Pm9 Pm 0.766 0.234 0.234 1
Zn1 Zn 0.500 0.000 0.000 1
Zn2 Zn 0.000 0.500 0.000 1
Zn3 Zn 0.000 0.000 0.500 1
Pb1 Pb 0.000 0.500 0.500 1
Pb2 Pb 0.500 0.000 0.500 1
Pb3 Pb 0.500 0.500 0.000 1

# Ti5P2, optimized geometry, DFT PBE
# - E_form: -0.866 eV per atom
# - Symmetry: C2/c
data_Ti5P2
_cell_length_a 5.030
_cell_length_b 6.584
_cell_length_c 7.002
_cell_angle_alpha 95.07
_cell_angle_beta 111.05
_cell_angle_gamma 90.00
_space_group_name_H-M_alt 'P 1'
_space_group_IT_number 1
loop_
_space_group_symop_operation_xyz
'x,y,z'
loop_
_atom_site_label
_atom_site_type_symbol
_atom_site_fract_x
_atom_site_fract_y
_atom_site_fract_z
_atom_site_occupancy
Ti1 Ti 0.232 0.429 0.184 1
Ti2 Ti 0.048 0.071 0.816 1
Ti3 Ti 0.176 0.692 0.549 1
Ti4 Ti 0.627 0.808 0.451 1
Ti5 Ti 0.824 0.308 0.451 1
Ti6 Ti 0.373 0.192 0.549 1
Ti7 Ti 0.952 0.929 0.184 1
Ti8 Ti 0.768 0.571 0.816 1
Ti9 Ti 0.639 0.250 0.000 1
Ti10 Ti 0.361 0.750 0.000 1
P1 P 0.216 0.424 0.786 1
P2 P 0.429 0.076 0.214 1
P3 P 0.784 0.576 0.214 1
P4 P 0.571 0.924 0.786 1

# ErSc2PaP4, optimized geometry, DFT PBE
# - E_form: -1.478 eV per atom
# - Symmetry: P2/m
data_ErSc2PaP4
_cell_length_a 3.880
_cell_length_b 6.650
_cell_length_c 6.709
_cell_angle_alpha 70.36
_cell_angle_beta 90.00
_cell_angle_gamma 90.00
_space_group_name_H-M_alt 'P 1'
_space_group_IT_number 1
loop_
_space_group_symop_operation_xyz
'x,y,z'
loop_
_atom_site_label
_atom_site_type_symbol
_atom_site_fract_x
_atom_site_fract_y
_atom_site_fract_z
_atom_site_occupancy
Er1 Er 0.000 0.500 0.500 1
Sc1 Sc 0.000 0.000 0.000 1
Sc2 Sc 0.500 0.000 0.500 1
Pa1 Pa 0.500 0.500 0.000 1
P1 P 0.000 0.763 0.746 1
P2 P 0.000 0.237 0.254 1
P3 P 0.500 0.761 0.244 1
P4 P 0.500 0.239 0.756 1

# TiAs3N, optimized geometry, DFT PBE
# - Symmetry: Pm-3m
# - Energy relative to the elements, uncorrected: 1088 meV/atom
# - Energy above the lowest structure with this stoichiometry: 645 meV per atom
data_TiAs3N
_cell_length_a 4.862
_cell_length_b 4.862
_cell_length_c 4.862
_cell_angle_alpha 90.00
_cell_angle_beta 90.00
_cell_angle_gamma 90.00
_space_group_name_H-M_alt 'P 1'
_space_group_IT_number 1
loop_
_space_group_symop_operation_xyz
'x,y,z'
loop_
_atom_site_label
_atom_site_type_symbol
_atom_site_fract_x
_atom_site_fract_y
_atom_site_fract_z
_atom_site_occupancy
As1 As 0.000 0.500 0.000 1
As2 As 0.000 0.000 0.500 1
As3 As 0.500 0.000 0.000 1
N1 N 0.500 0.500 0.500 1
Ti1 Ti 0.000 0.000 0.000 1

# ZrFe2Ni, optimized geometry, DFT PBE
# - E_form: -0.077 eV per atom
# - Symmetry: Immm
data_ZrFe2Ni
_cell_length_a 4.896
_cell_length_b 4.896
_cell_length_c 4.896
_cell_angle_alpha 135.95
_cell_angle_beta 135.77
_cell_angle_gamma 64.20
_space_group_name_H-M_alt 'P 1'
_space_group_IT_number 1
loop_
_space_group_symop_operation_xyz
'x,y,z'
loop_
_atom_site_label
_atom_site_type_symbol
_atom_site_fract_x
_atom_site_fract_y
_atom_site_fract_z
_atom_site_occupancy
Fe1 Fe 0.000 0.000 0.000 1
Fe2 Fe 0.500 0.500 0.000 1
Ni1 Ni 0.750 0.250 0.500 1
Zr1 Zr 0.250 0.750 0.500 1

# KCdP2O6, optimized geometry, DFT PBE
# - Symmetry: C2/c
# - Energy relative to the elements, uncorrected: -1902 meV/atom
data_KCdP2O6
_cell_length_a 8.235
_cell_length_b 8.235
_cell_length_c 4.694
_cell_angle_alpha 92.79
_cell_angle_beta 92.79
_cell_angle_gamma 90.61
_space_group_name_H-M_alt 'P 1'
_space_group_IT_number 1
loop_
_space_group_symop_operation_xyz
'x,y,z'
loop_
_atom_site_label
_atom_site_type_symbol
_atom_site_fract_x
_atom_site_fract_y
_atom_site_fract_z
_atom_site_occupancy
K1 K 0.192 0.808 0.250 1
K2 K 0.808 0.192 0.750 1
Cd1 Cd 0.569 0.431 0.250 1
Cd2 Cd 0.431 0.569 0.750 1
P1 P 0.305 0.142 0.819 1
P2 P 0.858 0.695 0.681 1
P3 P 0.695 0.858 0.181 1
P4 P 0.142 0.305 0.319 1
O1 O 0.965 0.310 0.242 1
O2 O 0.690 0.035 0.258 1
O3 O 0.035 0.690 0.758 1
O4 O 0.310 0.965 0.742 1
O5 O 0.227 0.158 0.132 1
O6 O 0.842 0.773 0.368 1
O7 O 0.773 0.842 0.868 1
O8 O 0.158 0.227 0.632 1
O9 O 0.248 0.457 0.317 1
O10 O 0.543 0.752 0.183 1
O11 O 0.752 0.543 0.683 1
O12 O 0.457 0.248 0.817 1

# ScMoSeBr2, optimized geometry, DFT PBE
# - Symmetry: P4/mmm
# - Energy relative to the elements, uncorrected: -117 meV/atom
# - Energy above the lowest structure with this stoichiometry: 0 meV per atom
data_ScMoSeBr2
_cell_length_a 5.243
_cell_length_b 5.243
_cell_length_c 5.252
_cell_angle_alpha 90.00
_cell_angle_beta 90.00
_cell_angle_gamma 90.00
_space_group_name_H-M_alt 'P 1'
_space_group_IT_number 1
loop_
_space_group_symop_operation_xyz
'x,y,z'
loop_
_atom_site_label
_atom_site_type_symbol
_atom_site_fract_x
_atom_site_fract_y
_atom_site_fract_z
_atom_site_occupancy
Sc1 Sc 0.000 0.000 0.000 1
Mo1 Mo 0.500 0.500 0.500 1
Se1 Se 0.000 0.000 0.500 1
Br1 Br 0.000 0.500 0.000 1
Br2 Br 0.500 0.000 0.000 1

# Er5Hg2IrRh2, optimized geometry, DFT PBE
# - E_form: -0.645 eV per atom
# - Symmetry: P4/mbm
data_Er5Hg2IrRh2
_cell_length_a 3.544
_cell_length_b 11.412
_cell_length_c 11.412
_cell_angle_alpha 90.00
_cell_angle_beta 90.00
_cell_angle_gamma 90.00
_space_group_name_H-M_alt 'P 1'
_space_group_IT_number 1
loop_
_space_group_symop_operation_xyz
'x,y,z'
loop_
_atom_site_label
_atom_site_type_symbol
_atom_site_fract_x
_atom_site_fract_y
_atom_site_fract_z
_atom_site_occupancy
Er1 Er 0.500 0.191 0.078 1
Er2 Er 0.500 0.809 0.922 1
Er3 Er 0.500 0.078 0.809 1
Er4 Er 0.500 0.691 0.422 1
Er5 Er 0.500 0.922 0.191 1
Er6 Er 0.500 0.309 0.578 1
Er7 Er 0.500 0.578 0.691 1
Er8 Er 0.500 0.422 0.309 1
Er9 Er 0.500 0.500 0.000 1
Er10 Er 0.500 0.000 0.500 1
Hg1 Hg 0.000 0.673 0.173 1
Hg2 Hg 0.000 0.327 0.827 1
Hg3 Hg 0.000 0.173 0.327 1
Hg4 Hg 0.000 0.827 0.673 1
Ir1 Ir 0.000 0.000 0.000 1
Ir2 Ir 0.000 0.500 0.500 1
Rh1 Rh 0.000 0.133 0.633 1
Rh2 Rh 0.000 0.867 0.367 1
Rh3 Rh 0.000 0.633 0.867 1
Rh4 Rh 0.000 0.367 0.133 1

# Mg2CuMo, optimized geometry, DFT PBE
# - E_form: 0.267 eV per atom
# - Symmetry: Cm
# - Energy above the lowest structure with this stoichiometry: 110 meV per atom
data_Mg2CuMo
_cell_length_a 5.633
_cell_length_b 5.633
_cell_length_c 5.150
_cell_angle_alpha 61.75
_cell_angle_beta 61.75
_cell_angle_gamma 27.78
_space_group_name_H-M_alt 'P 1'
_space_group_IT_number 1
loop_
_space_group_symop_operation_xyz
'x,y,z'
loop_
_atom_site_label
_atom_site_type_symbol
_atom_site_fract_x
_atom_site_fract_y
_atom_site_fract_z
_atom_site_occupancy
Cu1 Cu 0.242 0.242 0.355 1
Mg1 Mg 0.984 0.984 0.937 1
Mg2 Mg 0.757 0.757 0.811 1
Mo1 Mo 0.517 0.517 0.397 1

# K2CrAsSe4, optimized geometry, DFT PBE
# - Symmetry: Imma
# - Energy relative to the elements, uncorrected: -617 meV/atom
data_K2CrAsSe4
_cell_length_a 8.292
_cell_length_b 8.292
_cell_length_c 8.181
_cell_angle_alpha 119.56
_cell_angle_beta 119.56
_cell_angle_gamma 90.04
_space_group_name_H-M_alt 'P 1'
_space_group_IT_number 1
loop_
_space_group_symop_operation_xyz
'x,y,z'
loop_
_atom_site_label
_atom_site_type_symbol
_atom_site_fract_x
_atom_site_fract_y
_atom_site_fract_z
_atom_site_occupancy
K1 K 0.500 0.000 0.000 1
K2 K 0.500 0.000 0.500 1
K3 K 0.000 0.000 0.500 1
K4 K 0.500 0.500 0.000 1
Cr1 Cr 0.000 0.500 0.000 1
Cr2 Cr 0.000 0.500 0.500 1
As1 As 0.500 0.500 0.500 1
As2 As 0.000 0.000 0.000 1
Se1 Se 0.186 0.714 0.950 1
Se2 Se 0.786 0.314 0.550 1
Se3 Se 0.214 0.686 0.450 1
Se4 Se 0.814 0.286 0.050 1
Se5 Se 0.777 0.723 0.971 1
Se6 Se 0.777 0.723 0.529 1
Se7 Se 0.223 0.277 0.471 1
Se8 Se 0.223 0.277 0.029 1

# KLiCe2O5, optimized geometry, DFT PBE
# - Symmetry: I4/mcm
# - Energy relative to the elements, uncorrected: -2764 meV/atom
data_KLiCe2O5
_cell_length_a 6.645
_cell_length_b 6.645
_cell_length_c 7.415
_cell_angle_alpha 116.62
_cell_angle_beta 116.62
_cell_angle_gamma 90.00
_space_group_name_H-M_alt 'P 1'
_space_group_IT_number 1
loop_
_space_group_symop_operation_xyz
'x,y,z'
loop_
_atom_site_label
_atom_site_type_symbol
_atom_site_fract_x
_atom_site_fract_y
_atom_site_fract_z
_atom_site_occupancy
K1 K 0.250 0.250 0.500 1
K2 K 0.750 0.750 0.500 1
Li1 Li 0.250 0.750 0.500 1
Li2 Li 0.750 0.250 0.500 1
Ce1 Ce 0.177 0.323 0.000 1
Ce2 Ce 0.677 0.177 0.000 1
Ce3 Ce 0.323 0.823 0.000 1
Ce4 Ce 0.823 0.677 0.000 1
O1 O 0.977 0.477 0.239 1
O2 O 0.738 0.238 0.761 1
O3 O 0.023 0.523 0.761 1
O4 O 0.238 0.023 0.761 1
O5 O 0.523 0.738 0.761 1
O6 O 0.762 0.977 0.239 1
O7 O 0.477 0.262 0.239 1
O8 O 0.262 0.762 0.239 1
O9 O 0.500 0.500 0.000 1
O10 O 0.000 0.000 0.000 1

# Ni2SbAs2, optimized geometry, DFT PBE
# - Symmetry: I4/mmm
# - Energy relative to the elements, uncorrected: 10 meV/atom
# - Energy above the lowest structure with this stoichiometry: 0 meV per atom
data_Ni2SbAs2
_cell_length_a 4.247
_cell_length_b 4.247
_cell_length_c 5.626
_cell_angle_alpha 67.83
_cell_angle_beta 67.83
_cell_angle_gamma 90.00
_space_group_name_H-M_alt 'P 1'
_space_group_IT_number 1
loop_
_space_group_symop_operation_xyz
'x,y,z'
loop_
_atom_site_label
_atom_site_type_symbol
_atom_site_fract_x
_atom_site_fract_y
_atom_site_fract_z
_atom_site_occupancy
Sb1 Sb 0.000 0.000 0.000 1
As1 As 0.366 0.366 0.269 1
As2 As 0.634 0.634 0.731 1
Ni1 Ni 0.750 0.250 0.500 1
Ni2 Ni 0.250 0.750 0.500 1

Number 1: energy -62.071 eV per cell. Number 2: energy -112.718 eV per cell. Number 3: energy -60.182 eV per cell. Number 4: energy -24.727 eV per cell. Number 5: energy -31.564 eV per cell. Number 6: energy -123.201 eV per cell. Number 7: energy -24.580 eV per cell. Number 8: energy -106.867 eV per cell. Number 9: energy -17.048 eV per cell. Number 10: energy -70.677 eV per cell. Number 11: energy -129.089 eV per cell. Number 12: energy -24.935 eV per cell.